A relaxed structure of CaIn2Rh. Source: the Alexandria database, functional PBE.

Summary:
**Calculated formation energy**: -0.39 eV per atom
**DFT total energy**: -16.4 eV per cell
**Density of states at the Fermi level**: 0.827 states/eV per atom
**M_tot**: 0.0 μB per formula unit
**Volume**: 21.97 Å³ per atom

Unit cell a=3.349 b=3.353 c=7.824 alpha=90.00 beta=90.00 gamma=90.00
Positions (direct):
1 Ca 0.500 0.500 0.750
2 Rh 0.500 0.500 0.250
3 In 0.000 0.000 0.050
4 In 0.000 0.000 0.450



A relaxed structure of CaIn2Rh. Source: the Alexandria database, functional PBE.

Summary:
**Calculated formation energy**: -0.30 eV per atom
**DFT total energy**: -16.0 eV per cell
**Density of states at the Fermi level**: 0.354 states/eV per atom
**M_tot**: 0.0 μB per formula unit
**Volume**: 24.35 Å³ per atom

Unit cell a=3.381 b=4.584 c=6.689 alpha=69.95 beta=90.00 gamma=90.00
Positions (direct):
1 Ca 0.500 0.729 0.668
2 Rh 0.000 0.272 0.581
3 In 0.000 0.059 0.008
4 In 0.500 0.440 0.244



A relaxed structure of CaInRh. Source: the Alexandria database, functional PBE.

Summary:
**Calculated formation energy**: -0.46 eV per atom
**DFT total energy**: -40.4 eV per cell
**Density of states at the Fermi level**: 0.596 states/eV per atom
**M_tot**: 0.0 μB per formula unit
**Volume**: 24.24 Å³ per atom

Unit cell a=4.690 b=6.717 c=8.046 alpha=114.67 beta=106.94 gamma=90.00
Positions (direct):
1 Ca 0.657 0.315 0.313
2 Ca 0.343 0.001 0.687
3 Ca 0.000 0.739 0.000
4 In 0.000 0.245 0.000
5 In 0.318 0.469 0.637
6 In 0.682 0.832 0.363
7 Rh 0.500 0.477 0.000
8 Rh 0.831 0.261 0.662
9 Rh 0.169 0.599 0.338